Compound: MnO
Source: Alexandria
Functional: PBE+U
Structure: optimized geometry

## Properties
- V: 23.3 Å³/f.u.
- Total magnetic moment: 5.00 μB per cell
- Final energy: -15.2 eV/cell

a b c (Å): 3.0836 3.0836 2.8306
angles (deg): 90.00 90.00 120.00
Space group P-6m2 (No. 187)
One atom of each set of equivalent atoms:
Mn  0.0000  0.0000  0.0000 [1 per cell]
O  0.3333  0.6667  0.5000 [1 per cell]